DFT (PBE) results for an optimized crystal structure of Ac2PuNbN6.

The structure belongs to space group Pmmn (No. 59, origin choice 2); the cell edges are 5.948, 8.360 and 5.982 Å and the angles 90.00°, 90.00° and 90.00°. The inequivalent atoms are Ac at (0.250, 0.000, 0.231), Pu at (0.250, 0.250, 0.754), Nb at (0.250, 0.750, 0.723), N at (0.002, 0.250, 0.498), N at (0.006, 0.250, 0.990) and N at (0.250, 0.506, 0.775).

The value obtained for the density of states at the Fermi level is 2.725 states/eV per cell. As for the raw formation energy: -1.021 eV/atom.